The following is a GGA-PBEsol calculation of crystalline Sc2GaN at its relaxed geometry, from the Alexandria database.

**Symmetry**: Fm-3m (225)
**Calculated total energy**: -6.3039 eV per atom
**Total magnetization**: 0.0001 μB per atom

a b c (Å): 4.428 4.428 4.428
angles (deg): 60.00 60.00 60.00
Positions (direct):
Sc 0.250 0.250 0.250
Sc 0.750 0.750 0.750
Ga 0.500 0.500 0.500
N 0.000 0.000 0.000

The following is a GGA-PBEsol calculation of crystalline ScGaTe2N at its relaxed geometry, from the Alexandria database.

**Symmetry**: P4/mmm (123)
**Calculated total energy**: -5.0190 eV per atom
**Total magnetization**: 0.0004 μB per atom

a b c (Å): 3.866 5.704 5.704
angles (deg): 90.00 90.00 90.00
Positions (direct):
Sc 0.000 0.000 0.000
Te 0.000 0.000 0.500
Te 0.000 0.500 0.000
Ga 0.500 0.500 0.500
N 0.500 0.000 0.000

The following is a GGA-PBEsol calculation of crystalline GaSe2N at its relaxed geometry, from the Alexandria database.

**Symmetry**: R-3m (166)
**Calculated total energy**: -4.3017 eV per atom
**Total magnetization**: 0.0000 μB per atom

a b c (Å): 3.962 3.962 6.788
angles (deg): 73.03 73.03 60.00
Positions (direct):
Ga 0.500 0.500 0.500
Se 0.909 0.909 0.274
Se 0.091 0.091 0.726
N 0.000 0.000 0.000

What did we get for uncorrected formation energy? Answer: -34.8, 85.7, 590.0 meV per atom, in the order shown.